SrEuYCrO6 (PBE with a Hubbard U, relaxed); total DFT energy (no corrections) = -8.052 eV/atom; volume = 13.65 Å³ per atom; magnetization = 0.5092 μB/atom; calculated density = 5.80 g/cm3
1.0
-0.5419 -1.7421 5.4840
-4.6020 1.6116 3.1027
-4.0381 -3.8862 1.4119
O Y Sr Eu Cr
6 1 1 1 1
Direct
0.7676 0.2324 0.7676 O
0.7676 0.7676 0.2324 O
0.7676 0.2324 0.2324 O
0.2324 0.7676 0.7676 O
0.2324 0.7676 0.2324 O
0.2324 0.2324 0.7676 O
0.5000 0.5000 0.5000 Y
0.2500 0.2500 0.2500 Sr
0.7500 0.7500 0.7500 Eu
0.0000 0.0000 0.0000 Cr